# 1
Here is crystalline SrCaMg2Hg4 at its relaxed geometry from Alexandria. Energies are from PBE.

Lattice parameters (Å, degrees): 5.1947 5.1947 26.0800 90.00 90.00 120.00
Space group R-3m (No. 166, hexagonal axes)
Unique sites:
Sr  0.0000  0.0000  0.0000 x3
Ca  0.0000  0.0000  0.5000 x3
Mg  0.0000  0.0000  0.2472 x6
Hg  0.0000  0.0000  0.1272 x6
Hg  0.0000  0.0000  0.3804 x6

D(E_F) = 0.519 states/eV per atom
ΔE_f = -311 kJ/mol of formula units
Uncorrected energy = -33.91 eV per cell

***

# 2
Here is crystalline CaTb2MgHg4 at its relaxed geometry from Alexandria. Energies are from PBE.

Lattice parameters (Å, degrees): 5.1897 5.1897 25.5771 90.00 90.00 120.00
Space group R-3m (No. 166, hexagonal axes)
Unique sites:
Ca  0.0000  0.0000  0.0000 x3
Tb  0.0000  0.0000  0.2464 x6
Mg  0.0000  0.0000  0.5000 x3
Hg  0.0000  0.0000  0.1250 x6
Hg  0.0000  0.0000  0.3753 x6

D(E_F) = 0.537 states/eV per atom
ΔE_f = -373 kJ/mol of formula units
Uncorrected energy = -53.79 eV per cell

***

# 3
Here is crystalline CaThMgHg at its relaxed geometry from Alexandria. Energies are from PBE.

Lattice parameters (Å, degrees): 7.6791 7.6791 7.6791 90.00 90.00 90.00
Space group F-43m (No. 216)
Unique sites:
Ca  0.0000  0.0000  0.0000 x4
Th  0.0000  0.0000  0.5000 x4
Mg  0.2500  0.2500  0.2500 x4
Hg  0.2500  0.2500  0.7500 x4

D(E_F) = 0.748 states/eV per atom
ΔE_f = -44 kJ/mol of formula units
Uncorrected energy = -47.10 eV per cell